Record 1
Compound: Sr2LiGa2Ni
Source: the Alexandria database
Functional: GGA-PBE
Structure: relaxed

Structure (extended XYZ):
```
12
Lattice="-1.921 -0.593 6.153 0.272 -6.436 -0.536 7.602 3.624 -0.683" Properties=species:S:1:pos:R:3 pbc="T T T"
Sr 1.427 -5.112 3.358
Sr 2.250 -1.550 0.553
Sr 3.703 -1.855 4.382
Sr 4.526 1.707 1.577
Li -0.480 -0.148 1.538
Li -1.441 -0.445 4.615
Ga 5.741 -1.331 1.664
Ga 0.212 -2.075 3.271
Ga 1.292 -4.623 -0.042
Ga 4.661 1.217 4.977
Ni -1.305 -3.663 4.347
Ni -0.344 -3.366 1.270
```

Summary:
SG: Ibam
Total energy (eV per atom): -3.17

---

Record 2
Compound: SrSmEu4
Source: the Alexandria database
Functional: GGA-PBE
Structure: relaxed

Structure (extended XYZ):
```
6
Lattice="-4.507 -5.005 -2.410 0.031 -6.538 2.903 -5.484 -2.133 4.069" Properties=species:S:1:pos:R:3 pbc="T T T"
Eu -3.466 -7.488 0.800
Eu -6.255 -5.261 1.390
Eu -6.239 -8.567 2.858
Eu -3.960 -6.036 4.077
Sr -2.490 -3.419 1.141
Sm 0.000 0.000 0.000
```

Summary:
SG: F-43m
Total energy (eV per atom): -7.73

---

Record 3
Compound: GaSi2Ir2
Source: the Alexandria database
Functional: GGA-PBE
Structure: relaxed

Structure (extended XYZ):
```
5
Lattice="-3.276 0.948 -1.276 0.829 -1.476 -3.224 -3.403 -5.393 -0.462" Properties=species:S:1:pos:R:3 pbc="T T T"
Si -3.952 -2.355 -1.995
Si -1.899 -3.567 -2.968
Ir -1.740 -1.480 -1.826
Ir -4.110 -4.442 -3.137
Ga 0.000 0.000 0.000
```

Summary:
ΔE_f (raw) (eV/atom): -0.449
SG: I4/mmm

---

Record 4
Compound: RbSrPb3
Source: the Alexandria database
Functional: GGA-PBE
Structure: relaxed

Structure (extended XYZ):
```
5
Lattice="6.276 0.000 0.000 0.000 6.276 0.000 0.000 0.000 6.276" Properties=species:S:1:pos:R:3 pbc="T T T"
Pb 0.000 3.138 0.000
Pb 0.000 0.000 3.138
Pb 3.138 0.000 0.000
Sr 0.000 0.000 0.000
Rb 3.138 3.138 3.138
```

Summary:
SG: Pm-3m
Total energy (eV per atom): -2.43

---

Record 5
Compound: Zr3ReRu
Source: the Alexandria database
Functional: GGA-PBE
Structure: relaxed

Structure (extended XYZ):
```
5
Lattice="-2.796 3.322 2.235 -3.652 -0.997 -3.086 -1.643 -3.438 3.055" Properties=species:S:1:pos:R:3 pbc="T T T"
Re -4.045 -0.556 1.102
Zr -1.826 -0.499 -1.543
Zr -0.821 -1.719 1.528
Zr -1.398 1.661 1.118
Ru 0.000 0.000 0.000
```

Summary:
SG: Pm-3m
Total energy (eV per atom): -8.59

---

Record 6
Compound: ErLu2Co
Source: the Alexandria database
Functional: GGA-PBE
Structure: relaxed

Structure (extended XYZ):
```
4
Lattice="-2.970 -1.478 -0.202 1.016 -2.334 2.137 -2.843 4.810 6.605" Properties=species:S:1:pos:R:3 pbc="T T T"
Lu -2.323 3.931 5.397
Lu -0.520 0.879 1.207
Co -0.977 -1.906 0.968
Er -2.399 0.499 4.270
```

Summary:
SG: P4/mmm
Total energy (eV per atom): -5.29

---

Record 7
Compound: PrPaBiTe
Source: the Alexandria database
Functional: GGA-PBE
Structure: relaxed

Structure (extended XYZ):
```
4
Lattice="5.459 0.000 0.000 2.729 4.727 0.000 2.729 1.576 4.457" Properties=species:S:1:pos:R:3 pbc="T T T"
Pr 2.729 1.576 1.114
Pa 8.188 4.727 3.343
Te 5.459 3.152 2.229
Bi 0.000 0.000 0.000
```

Summary:
ΔE_f (raw) (eV/atom): -0.654
SG: F-43m

---

Record 8
Compound: DyEr2
Source: the Alexandria database
Functional: GGA-PBE
Structure: relaxed

Structure (extended XYZ):
```
3
Lattice="3.543 0.000 -0.003 1.772 3.066 0.010 0.006 2.027 8.461" Properties=species:S:1:pos:R:3 pbc="T T T"
Dy 1.795 1.004 4.182
Er 1.797 3.041 7.020
Er 3.564 2.034 1.353
```

Summary:
SG: C2/m
Total energy (eV per atom): -4.58

---

Record 9
Compound: Sm2InCl
Source: the Alexandria database
Functional: GGA-PBE
Structure: relaxed

Structure (extended XYZ):
```
4
Lattice="3.708 0.000 0.000 1.854 3.211 0.000 1.854 1.070 9.090" Properties=species:S:1:pos:R:3 pbc="T T T"
Cl 0.000 0.000 0.000
Sm 5.562 3.211 6.973
Sm 1.854 1.070 2.117
In 3.708 2.141 4.545
```

Summary:
ΔE_f (raw) (eV/atom): -0.857
SG: R-3m

---

Record 10
Compound: HgBI2
Source: the Alexandria database
Functional: GGA-PBE
Structure: relaxed

Structure (extended XYZ):
```
8
Lattice="7.777 0.000 0.000 0.000 7.777 0.000 3.888 3.888 5.494" Properties=species:S:1:pos:R:3 pbc="T T T"
I 4.012 1.944 1.373
I 3.765 5.832 1.373
I 5.832 7.653 4.120
I 9.721 7.900 4.120
B 3.888 3.888 0.000
B 3.888 7.777 2.747
Hg 0.000 0.000 0.000
Hg 7.777 3.888 2.747
```

Summary:
ΔE_f (raw) (eV/atom): 0.487
SG: I-42d

---

Record 11
Compound: Mn3RuI
Source: the Alexandria database
Functional: GGA-PBE
Structure: relaxed

Structure (extended XYZ):
```
5
Lattice="-1.436 0.795 4.579 -4.300 -2.044 -0.994 1.762 -4.341 1.307" Properties=species:S:1:pos:R:3 pbc="T T T"
I -1.987 -2.795 2.446
Ru 0.000 0.000 0.000
Mn -2.150 -1.022 -0.497
Mn 0.881 -2.171 0.653
Mn -0.718 0.398 2.289
```

Summary:
ΔE_f (raw) (eV/atom): 1.001
SG: Pm-3m

---

Record 12
Compound: SrBe4Mo
Source: the Alexandria database
Functional: GGA-PBE
Structure: relaxed

Structure (extended XYZ):
```
6
Lattice="0.000 3.442 3.442 3.442 0.000 3.442 3.442 3.442 0.000" Properties=species:S:1:pos:R:3 pbc="T T T"
Sr 0.000 0.000 0.000
Be 2.636 2.636 4.249
Be 2.636 4.249 2.636
Be 4.249 4.249 4.249
Be 4.249 2.636 2.636
Mo 1.721 1.721 1.721
```

Summary:
SG: F-43m
Total energy (eV per atom): -4.04

---

Record 13
Compound: Ba2MgIrI
Source: the Alexandria database
Functional: GGA-PBE
Structure: relaxed

Structure (extended XYZ):
```
5
Lattice="-3.952 -4.315 1.808 4.160 -2.159 3.942 -1.778 3.134 3.592" Properties=species:S:1:pos:R:3 pbc="T T T"
I -0.785 -1.670 4.671
Mg -0.889 1.567 1.796
Ir 0.000 0.000 0.000
Ba 2.080 -1.079 1.971
Ba -1.976 -2.157 0.904
```

Summary:
ΔE_f (raw) (eV/atom): -0.569
SG: P4/mmm

---

Record 14
Compound: CaTb5Er3
Source: the Alexandria database
Functional: GGA-PBE
Structure: relaxed

Structure (extended XYZ):
```
18
Lattice="9.272 0.000 0.000 -4.636 8.976 -2.728 0.000 -0.783 7.297" Properties=species:S:1:pos:R:3 pbc="T T T"
Ca 6.049 -0.587 5.473
Ca 3.223 -0.196 1.824
Tb 2.643 -0.587 5.473
Tb 1.667 5.375 4.330
Tb 6.304 2.807 0.363
Tb 2.969 2.818 0.239
Tb 1.668 5.778 0.557
Tb 6.629 -0.196 1.824
Tb -1.667 5.767 0.682
Tb 6.303 2.427 3.887
Tb 2.968 2.415 4.012
Tb -1.668 5.387 4.205
Er 0.000 0.000 0.000
Er 4.612 5.226 2.406
Er 0.000 -0.392 3.649
Er 0.024 2.967 2.163
Er 4.660 5.617 -1.243
Er -0.024 2.576 5.812
```

Summary:
SG: Imma
Total energy (eV per atom): -4.17

---

Record 15
Compound: Be4TcHg
Source: the Alexandria database
Functional: GGA-PBE
Structure: relaxed

Structure (extended XYZ):
```
6
Lattice="0.000 3.211 3.211 3.211 0.000 3.211 3.211 3.211 0.000" Properties=species:S:1:pos:R:3 pbc="T T T"
Be 2.386 2.386 4.036
Be 2.386 4.036 2.386
Be 4.036 4.036 4.036
Be 4.036 2.386 2.386
Tc 0.000 0.000 0.000
Hg 1.606 1.606 1.606
```

Summary:
SG: F-43m
Total energy (eV per atom): -4.10

---

Record 16
Compound: Ba2Na2Sb
Source: the Alexandria database
Functional: GGA-PBE
Structure: relaxed

Structure (extended XYZ):
```
10
Lattice="-7.181 4.337 0.089 -4.333 -7.164 -0.528 -0.129 -0.327 5.497" Properties=species:S:1:pos:R:3 pbc="T T T"
Sb 0.000 0.000 0.000
Sb -5.757 -1.414 -0.220
Ba -4.448 -4.290 2.400
Ba -8.536 -2.944 2.384
Ba -7.195 1.136 2.658
Ba -3.107 -0.210 2.674
Na -6.436 -4.630 -0.427
Na -8.979 -0.731 -0.255
Na -5.078 1.803 -0.012
Na -2.534 -2.096 -0.184
```

Summary:
ΔE_f (raw) (eV/atom): -0.286
SG: P4/mbm

---

Record 17
Compound: P2PdSO
Source: the Alexandria database
Functional: GGA-PBE
Structure: relaxed

Structure (extended XYZ):
```
5
Lattice="4.742 0.000 0.000 0.000 4.742 0.000 0.000 0.000 3.816" Properties=species:S:1:pos:R:3 pbc="T T T"
P 0.000 2.371 0.000
P 2.371 0.000 0.000
S 2.371 2.371 1.908
O 0.000 0.000 1.908
Pd 0.000 0.000 0.000
```

Summary:
ΔE_f (raw) (eV/atom): 0.714
SG: P4/mmm

---

Record 18
Compound: Nd6InAu2
Source: the Alexandria database
Functional: GGA-PBE
Structure: relaxed

Structure (extended XYZ):
```
18
Lattice="-7.272 -5.049 1.432 -0.238 4.286 -7.873 7.335 -5.150 -0.299" Properties=species:S:1:pos:R:3 pbc="T T T"
Nd 1.921 -3.850 -5.138
Nd -2.095 -2.062 -1.602
Nd 5.217 -3.516 -2.311
Nd -5.391 -2.397 -4.429
Nd -1.904 -3.683 -4.987
Nd 1.730 -2.230 -1.753
Nd 5.393 -2.676 -5.970
Nd -5.567 -3.237 -0.770
Nd -0.284 -5.407 -2.180
Nd 0.110 -0.506 -4.560
Nd 2.575 -0.806 -7.398
Nd -2.749 -5.107 0.658
In 3.549 -0.432 -4.086
In 0.000 0.000 0.000
Au 2.650 -5.418 -2.448
Au -2.824 -0.495 -4.292
Au 0.042 -6.662 0.740
Au -0.216 0.750 -7.480
```

Summary:
SG: Immm
Total energy (eV per atom): -4.65

---

Record 19
Compound: In2BiPd9
Source: the Alexandria database
Functional: GGA-PBE
Structure: relaxed

Structure (extended XYZ):
```
12
Lattice="4.067 0.000 0.000 0.000 4.067 0.000 0.000 0.000 12.231" Properties=species:S:1:pos:R:3 pbc="T T T"
In 0.000 0.000 4.144
In 0.000 0.000 8.087
Bi 0.000 0.000 0.000
Pd 2.034 2.034 0.000
Pd 2.034 2.034 4.084
Pd 2.034 2.034 8.147
Pd 2.034 0.000 2.096
Pd 2.034 0.000 6.116
Pd 2.034 0.000 10.135
Pd 0.000 2.034 2.096
Pd 0.000 2.034 6.116
Pd 0.000 2.034 10.135
```

Summary:
SG: P4/mmm
Total energy (eV per atom): -5.06

---

Record 20
Compound: Ca2Cd6PdRh
Source: the Alexandria database
Functional: GGA-PBE
Structure: relaxed

Structure (extended XYZ):
```
10
Lattice="-3.595 -0.266 6.360 6.356 -0.546 3.570 1.625 4.746 5.318" Properties=species:S:1:pos:R:3 pbc="T T T"
Ca 4.681 1.897 6.926
Ca -0.295 2.037 8.321
Cd 3.875 -0.476 4.265
Cd 3.697 4.136 12.772
Cd 1.503 2.177 5.142
Cd -1.114 -0.336 5.664
Cd 0.688 -0.202 2.475
Cd 2.883 1.757 10.106
Pd 1.381 -0.406 4.965
Rh 0.000 0.000 0.000
```

Summary:
SG: Fm-3m
Total energy (eV per atom): -2.33

---

Number 1: M_tot 0.0 Bohr magnetons per cell. Number 2: M_tot 30.8 Bohr magnetons per cell. Number 3: M_tot 0.0 Bohr magnetons per cell. Number 4: M_tot 0.7 Bohr magnetons per cell. Number 5: M_tot 0.3 Bohr magnetons per cell. Number 6: M_tot 0.8 Bohr magnetons per cell. Number 7: M_tot 1.4 Bohr magnetons per cell. Number 8: M_tot 0.0 Bohr magnetons per cell. Number 9: M_tot 0.0 Bohr magnetons per cell. Number 10: M_tot 0.0 Bohr magnetons per cell. Number 11: M_tot 12.6 Bohr magnetons per cell. Number 12: M_tot 1.9 Bohr magnetons per cell. Number 13: M_tot 0.0 Bohr magnetons per cell. Number 14: M_tot 0.0 Bohr magnetons per cell. Number 15: M_tot 0.0 Bohr magnetons per cell. Number 16: M_tot 0.0 Bohr magnetons per cell. Number 17: M_tot 0.0 Bohr magnetons per cell. Number 18: M_tot 0.0 Bohr magnetons per cell. Number 19: M_tot 0.0 Bohr magnetons per cell. Number 20: M_tot 0.0 Bohr magnetons per cell.